Material: Sm2Zn5Ag
Method: DFT, PBE-GGA
State: relaxed

Unit cell a=8.5205 b=8.5205 c=8.9889 alpha=90.00 beta=90.00 gamma=150.36
With the nearest neighbours (Å) after each atom.
Sites, in units of the cell vectors:
Sm1 0.0000 0.0000 0.0000  10 Zn 3.22-3.58, 4 Ag 3.25
Sm2 0.0000 0.0000 0.5000  10 Zn 3.22-3.58, 4 Ag 3.25
Sm3 0.1998 0.8002 0.7500  13 Zn 3.10-3.44, 2 Ag 3.26
Sm4 0.8002 0.1998 0.2500  13 Zn 3.10-3.44, 2 Ag 3.26
Zn1 0.1867 0.8133 0.1074  4 Zn 2.53-2.76
Zn2 0.1867 0.8133 0.3926  4 Zn 2.53-2.76
Zn3 0.3471 0.6529 0.0209  4 Zn 2.53-2.76, 1 Ag 2.64
Zn4 0.3471 0.6529 0.4791  4 Zn 2.53-2.76, 1 Ag 2.64
Zn5 0.3949 0.6051 0.7500  6 Zn 2.56-2.86, 1 Ag 2.59
Zn6 0.6051 0.3949 0.2500  6 Zn 2.56-2.86, 1 Ag 2.59
Zn7 0.6529 0.3471 0.5209  4 Zn 2.53-2.76, 1 Ag 2.64
Zn8 0.6529 0.3471 0.9791  4 Zn 2.53-2.76, 1 Ag 2.64
Zn9 0.8133 0.1867 0.6074  4 Zn 2.53-2.76
Zn10 0.8133 0.1867 0.8926  4 Zn 2.53-2.76
Ag1 0.4477 0.5523 0.2500  3 Zn 2.59-2.64
Ag2 0.5523 0.4477 0.7500  3 Zn 2.59-2.64

Summary:
Energy of formation from the pure elements in eV/atom: -0.31
Crystal system: orthorhombic
Magnetic moment in μB per atom: 0.00
Theoretical density in g/cm³: 7.6
DOS at the Fermi energy in states/eV/f.u.: 4.0